(1)
The following is a GGA-PBE calculation of crystalline Rb3Sm3PuTe8 at its relaxed geometry, from the Alexandria database.

Output
- Formation energy from raw total energies: -1.270 eV per atom

Cell and atoms, written as CIF:
```
data_Rb3Sm3PuTe8
_chemical_formula_sum 'Rb9 Sm9 Pu3 Te24'
_symmetry_space_group_name_H-M 'R -3 m'
_symmetry_Int_Tables_number 166
_symmetry_space_group_name_Hall '-R 3 2"'
_cell_length_a 9.0785
_cell_length_b 9.0785
_cell_length_c 26.1689
_cell_angle_alpha 90.00
_cell_angle_beta 90.00
_cell_angle_gamma 120.00
loop_
_atom_site_label
_atom_site_fract_x
_atom_site_fract_y
_atom_site_fract_z
Rb1 0.0000 0.5000 0.0000
Sm1 0.0000 0.5000 0.5000
Pu1 0.0000 0.0000 0.5000
Te1 0.0000 0.0000 0.2344
Te2 0.0053 0.5027 0.2325
```



(2)
The following is a GGA-PBE calculation of crystalline Tc2TePt at its relaxed geometry, from the Alexandria database.

Output
- Formation energy from raw total energies: 0.327 eV per atom

Cell and atoms, written as CIF:
```
data_Tc2TePt
_chemical_formula_sum 'Tc2 Te1 Pt1'
_symmetry_space_group_name_H-M 'P 4/m m m'
_symmetry_Int_Tables_number 123
_symmetry_space_group_name_Hall '-P 4 2'
_cell_length_a 3.202
_cell_length_b 3.202
_cell_length_c 6.434
_cell_angle_alpha 90.00
_cell_angle_beta 90.00
_cell_angle_gamma 90.00
loop_
_atom_site_label
_atom_site_fract_x
_atom_site_fract_y
_atom_site_fract_z
Tc1 0.000 0.000 0.250
Te1 0.500 0.500 0.000
Pt1 0.500 0.500 0.500
```



(3)
The following is a GGA-PBE calculation of crystalline VSn at its relaxed geometry, from the Alexandria database.

Output
- Energy of formation: 1293 meV/atom

Cell and atoms, written as CIF:
```
data_VSn
_chemical_formula_sum 'V4 Sn4'
_symmetry_space_group_name_H-M 'F -4 3 m'
_symmetry_Int_Tables_number 216
_symmetry_space_group_name_Hall 'F -4 2 3'
_cell_length_a 6.140
_cell_length_b 6.140
_cell_length_c 6.140
_cell_angle_alpha 90.00
_cell_angle_beta 90.00
_cell_angle_gamma 90.00
loop_
_atom_site_label
_atom_site_fract_x
_atom_site_fract_y
_atom_site_fract_z
V1 0.000 0.000 0.000
Sn1 0.250 0.250 0.750
```



(4)
The following is a GGA-PBE calculation of crystalline MgReP at its relaxed geometry, from the Alexandria database.

Output
- Energy of formation: -273 meV/atom
- Polymorph energy (0 for the lowest one): 0.0000 eV per atom

Cell and atoms, written as CIF:
```
data_MgReP
_chemical_formula_sum 'Mg2 Re2 P2'
_symmetry_space_group_name_H-M 'I 4 m m'
_symmetry_Int_Tables_number 107
_symmetry_space_group_name_Hall 'I 4 -2'
_cell_length_a 3.115
_cell_length_b 3.115
_cell_length_c 9.388
_cell_angle_alpha 90.00
_cell_angle_beta 90.00
_cell_angle_gamma 90.00
loop_
_atom_site_label
_atom_site_fract_x
_atom_site_fract_y
_atom_site_fract_z
Mg1 0.000 0.000 0.000
Re1 0.000 0.000 0.300
P1 0.000 0.000 0.692
```



(5)
The following is a GGA-PBE calculation of crystalline TeP at its relaxed geometry, from the Alexandria database.

Output
- Formation energy from raw total energies: 0.475 eV per atom

Cell and atoms, written as CIF:
```
data_TeP
_chemical_formula_sum 'Te4 P4'
_symmetry_space_group_name_H-M 'P 42/m n m'
_symmetry_Int_Tables_number 136
_symmetry_space_group_name_Hall '-P 4n 2n'
_cell_length_a 9.143
_cell_length_b 9.143
_cell_length_c 3.614
_cell_angle_alpha 90.00
_cell_angle_beta 90.00
_cell_angle_gamma 90.00
loop_
_atom_site_label
_atom_site_fract_x
_atom_site_fract_y
_atom_site_fract_z
Te1 0.222 0.222 0.000
P1 0.147 0.853 0.000
```



(6)
The following is a GGA-PBE calculation of crystalline CsSr3Pd at its relaxed geometry, from the Alexandria database.

Output
- Energy of formation: 83 meV/atom
- Polymorph energy (0 for the lowest one): 0.3230 eV per atom

Cell and atoms, written as CIF:
```
data_CsSr3Pd
_chemical_formula_sum 'Cs1 Sr3 Pd1'
_symmetry_space_group_name_H-M 'P 4 m m'
_symmetry_Int_Tables_number 99
_cell_length_a 5.255
_cell_length_b 5.255
_cell_length_c 11.698
_cell_angle_alpha 90.00
_cell_angle_beta 90.00
_cell_angle_gamma 90.00
loop_
_symmetry_equiv_pos_as_xyz
'x,y,z'
'-y,x,z'
'-x,-y,z'
'y,-x,z'
'-x,y,z'
'y,x,z'
'x,-y,z'
'-y,-x,z'
loop_
_atom_site_label
_atom_site_fract_x
_atom_site_fract_y
_atom_site_fract_z
Cs1 0.000 0.000 0.000
Sr1 0.000 0.000 0.402
Sr2 0.000 0.500 0.692
Pd1 0.500 0.500 0.825
```



(7)
The following is a GGA-PBE calculation of crystalline MnAlReRu at its relaxed geometry, from the Alexandria database.

Output
- Energy of formation: -189 meV/atom

Cell and atoms, written as CIF:
```
data_MnAlReRu
_chemical_formula_sum 'Mn4 Al4 Re4 Ru4'
_symmetry_space_group_name_H-M 'F -4 3 m'
_symmetry_Int_Tables_number 216
_symmetry_space_group_name_Hall 'F -4 2 3'
_cell_length_a 6.020
_cell_length_b 6.020
_cell_length_c 6.020
_cell_angle_alpha 90.00
_cell_angle_beta 90.00
_cell_angle_gamma 90.00
loop_
_atom_site_label
_atom_site_fract_x
_atom_site_fract_y
_atom_site_fract_z
Mn1 0.000 0.000 0.000
Al1 0.000 0.000 0.500
Re1 0.250 0.250 0.250
Ru1 0.250 0.250 0.750
```



(8)
The following is a GGA-PBE calculation of crystalline Tb4Zn3Au at its relaxed geometry, from the Alexandria database.

Output
- Energy of formation: -429 meV/atom
- Polymorph energy (0 for the lowest one): 0.0444 eV per atom

Cell and atoms, written as CIF:
```
data_Tb4Zn3Au
_chemical_formula_sum 'Tb4 Zn3 Au1'
_symmetry_space_group_name_H-M 'P m m 2'
_symmetry_Int_Tables_number 25
_cell_length_a 3.690
_cell_length_b 4.558
_cell_length_c 11.320
_cell_angle_alpha 90.00
_cell_angle_beta 90.00
_cell_angle_gamma 90.00
loop_
_symmetry_equiv_pos_as_xyz
'x,y,z'
'-x,-y,z'
'-x,y,z'
'x,-y,z'
loop_
_atom_site_label
_atom_site_fract_x
_atom_site_fract_y
_atom_site_fract_z
Tb1 0.000 0.000 0.000
Tb2 0.000 0.500 0.294
Tb3 0.500 0.000 0.499
Tb4 0.500 0.500 0.798
Zn1 0.000 0.000 0.719
Zn2 0.000 0.500 0.576
Zn3 0.500 0.500 0.071
Au1 0.500 0.000 0.223
```



Density of states at the Fermi level (computed, states/eV/atom): 0.8567 1.0429 2.5860 0.0759 0.5772 1.5762 0.8382 1.1212